<one>
! Pr2Er3Sc2 | the Alexandria database | PBE-GGA | optimized geometry; values from VASP
! size of the total moment	0.00	μB/f.u.
&SYSTEM
  ibrav = 0, nat = 7, ntyp = 3
/
ATOMIC_SPECIES
Er 167.26 Er.upf
Sc 44.96 Sc.upf
Pr 140.91 Pr.upf
ATOMIC_POSITIONS crystal
Er 0.3562 0.7124 0.5709
Sc 0.2150 0.4299 0.1417
Pr 0.9259 0.8518 0.2756
Sc 0.7850 0.5701 0.8583
Er 0.5000 0.0000 0.0000
Er 0.6438 0.2876 0.4291
Pr 0.0741 0.1482 0.7244
CELL_PARAMETERS angstrom
4.9779 0.0000 0.0000
-2.4890 5.4502 0.5893
0.0000 -1.9924 7.5783



<two>
! Pr2Er3Sc2 | the Alexandria database | PBE-GGA | optimized geometry; values from VASP
! size of the total moment	0.00	μB/f.u.
&SYSTEM
  ibrav = 0, nat = 7, ntyp = 3
/
ATOMIC_SPECIES
Sc 44.96 Sc.upf
Er 167.26 Er.upf
Pr 140.91 Pr.upf
ATOMIC_POSITIONS crystal
Sc 0.7170 0.5000 0.5660
Er 0.1584 0.0000 0.6833
Er 0.8416 0.0000 0.3167
Er 0.0000 0.0000 0.0000
Pr 0.4234 0.5000 0.1532
Sc 0.2830 0.5000 0.4340
Pr 0.5766 0.5000 0.8468
CELL_PARAMETERS angstrom
5.1587 0.0000 0.6846
0.0000 3.4857 0.0000
1.0356 0.0000 11.9749



Winner for stability: <two>



<one>
! PrEr3Sc2 | the Alexandria database | PBE-GGA | optimized geometry; values from VASP
! size of the total moment	0.00	μB/f.u.
&SYSTEM
  ibrav = 0, nat = 12, ntyp = 3
/
ATOMIC_SPECIES
Er 167.26 Er.upf
Sc 44.96 Sc.upf
Pr 140.91 Pr.upf
ATOMIC_POSITIONS crystal
Er 0.9930 0.8903 0.3668
Er 0.4930 0.6332 0.1097
Sc 0.4930 0.4847 0.6999
Pr 0.9930 0.7319 0.7319
Er 0.4930 0.1097 0.6332
Er 0.4930 0.9052 0.9052
Sc 0.9930 0.5153 0.3001
Er 0.9930 0.3668 0.8903
Sc 0.9930 0.3001 0.5153
Pr 0.4930 0.2681 0.2681
Er 0.9930 0.0948 0.0948
Sc 0.4930 0.6999 0.4847
CELL_PARAMETERS angstrom
-1.2682 -3.0776 -4.3275
0.6502 -7.0985 4.8577
-8.0224 3.1687 0.0975



<two>
! PrEr3Sc2 | the Alexandria database | PBE-GGA | optimized geometry; values from VASP
! size of the total moment	0.00	μB/f.u.
&SYSTEM
  ibrav = 0, nat = 12, ntyp = 3
/
ATOMIC_SPECIES
Sc 44.96 Sc.upf
Er 167.26 Er.upf
Pr 140.91 Pr.upf
ATOMIC_POSITIONS crystal
Sc 0.6923 0.3755 0.3846
Er 0.6968 0.7089 0.3936
Er 0.0663 0.7658 0.1326
Er 0.9337 0.2342 0.8674
Sc 0.0684 0.1433 0.1367
Pr 0.6808 0.0459 0.3617
Pr 0.3192 0.9541 0.6383
Er 0.3032 0.2911 0.6064
Er 0.4398 0.5619 0.8797
Er 0.5602 0.4381 0.1203
Sc 0.9316 0.8567 0.8633
Sc 0.3077 0.6245 0.6154
CELL_PARAMETERS angstrom
3.3983 0.0000 0.0000
0.0000 9.8841 -0.4893
-1.6992 -2.9669 10.8810



Winner for stability: <two>



<one>
! Pr3Er6Sc | the Alexandria database | PBE-GGA | optimized geometry; values from VASP
! size of the total moment	0.00	μB/f.u.
&SYSTEM
  ibrav = 0, nat = 20, ntyp = 3
/
ATOMIC_SPECIES
Er 167.26 Er.upf
Sc 44.96 Sc.upf
Pr 140.91 Pr.upf
ATOMIC_POSITIONS crystal
Er 0.2500 0.1464 0.2017
Er 0.7500 0.1411 0.6917
Sc 0.2500 0.9512 0.5994
Er 0.7500 0.3399 0.3022
Er 0.7500 0.7629 0.5023
Er 0.2500 0.6601 0.6978
Er 0.7500 0.9525 0.1047
Er 0.2500 0.0475 0.8953
Er 0.7500 0.5538 0.8986
Pr 0.2500 0.5503 0.4012
Er 0.2500 0.2371 0.4977
Pr 0.2500 0.3488 0.7974
Pr 0.7500 0.6512 0.2026
Sc 0.7500 0.0488 0.4006
Er 0.2500 0.4462 0.1014
Pr 0.7500 0.2473 0.9998
Pr 0.2500 0.7527 0.0002
Pr 0.7500 0.4497 0.5988
Er 0.2500 0.8589 0.3083
Er 0.7500 0.8536 0.7983
CELL_PARAMETERS angstrom
5.0291 0.0000 0.0000
0.0000 11.1823 -0.1686
0.0000 0.1039 11.2233



<two>
! Pr3Er6Sc | the Alexandria database | PBE-GGA | optimized geometry; values from VASP
! size of the total moment	0.00	μB/f.u.
&SYSTEM
  ibrav = 0, nat = 20, ntyp = 3
/
ATOMIC_SPECIES
Er 167.26 Er.upf
Sc 44.96 Sc.upf
Pr 140.91 Pr.upf
ATOMIC_POSITIONS crystal
Er 0.9096 0.0468 0.9532
Er 0.1296 0.7223 0.2777
Sc 0.6309 0.7960 0.2040
Er 0.3723 0.5400 0.9614
Pr 0.4585 0.2810 0.0557
Er 0.0442 0.7117 0.6180
Pr 0.9585 0.0557 0.2810
Er 0.8723 0.4600 0.0386
Sc 0.1309 0.2040 0.7960
Pr 0.0651 0.3877 0.6123
Er 0.8723 0.9614 0.5400
Pr 0.4585 0.9443 0.7190
Er 0.0442 0.3820 0.2883
Er 0.6296 0.2777 0.7223
Er 0.4096 0.9532 0.0468
Er 0.5442 0.6180 0.7117
Er 0.3723 0.0386 0.4600
Pr 0.9585 0.7190 0.9443
Pr 0.5651 0.6123 0.3877
Er 0.5442 0.2883 0.3820
CELL_PARAMETERS angstrom
6.2280 0.0000 0.0000
0.0000 10.7839 -1.5802
0.0000 -3.9468 10.1594



Winner for stability: <one>



<one>
! PrErThSc | the Alexandria database | PBE-GGA | optimized geometry; values from VASP
! size of the total moment	0.00	μB/f.u.
&SYSTEM
  ibrav = 0, nat = 4, ntyp = 4
/
ATOMIC_SPECIES
Sc 44.96 Sc.upf
Er 167.26 Er.upf
Th 232.04 Th.upf
Pr 140.91 Pr.upf
ATOMIC_POSITIONS crystal
Sc 0.0000 0.0000 0.0000
Er 0.5000 0.5000 0.5000
Th 0.2500 0.2500 0.2500
Pr 0.7500 0.7500 0.7500
CELL_PARAMETERS angstrom
5.5825 0.0000 0.0000
2.7912 4.8345 0.0000
2.7912 1.6115 4.5581



<two>
! PrErThSc | the Alexandria database | PBE-GGA | optimized geometry; values from VASP
! size of the total moment	0.00	μB/f.u.
&SYSTEM
  ibrav = 0, nat = 4, ntyp = 4
/
ATOMIC_SPECIES
Pr 140.91 Pr.upf
Er 167.26 Er.upf
Th 232.04 Th.upf
Sc 44.96 Sc.upf
ATOMIC_POSITIONS crystal
Pr 0.9649 0.3809 0.3601
Er 0.4761 0.1359 0.6272
Th 0.3071 0.5512 0.8741
Sc 0.1298 0.9629 0.1082
CELL_PARAMETERS angstrom
-2.5537 -2.4376 0.3189
3.4052 -0.9858 0.0325
0.8110 3.1648 10.9860



Winner for stability: <two>



<one>
! PrErSe3 | the Alexandria database | PBE-GGA | optimized geometry; values from VASP
! size of the total moment	0.00	μB/f.u.
&SYSTEM
  ibrav = 0, nat = 20, ntyp = 3
/
ATOMIC_SPECIES
Er 167.26 Er.upf
Se 78.96 Se.upf
Pr 140.91 Pr.upf
ATOMIC_POSITIONS crystal
Er 0.7500 0.2279 0.4575
Se 0.7500 0.1228 0.0606
Er 0.2500 0.7721 0.5425
Se 0.7500 0.8480 0.2140
Se 0.2500 0.6520 0.7140
Se 0.2500 0.0099 0.3955
Se 0.2500 0.8772 0.9394
Se 0.7500 0.9901 0.6045
Se 0.2500 0.5099 0.1045
Se 0.7500 0.3480 0.2860
Se 0.2500 0.1520 0.7860
Pr 0.7500 0.3593 0.7000
Se 0.2500 0.3772 0.5606
Er 0.2500 0.2721 0.9575
Pr 0.7500 0.8593 0.8000
Er 0.7500 0.7279 0.0425
Se 0.7500 0.4901 0.8955
Se 0.7500 0.6228 0.4394
Pr 0.2500 0.6407 0.3000
Pr 0.2500 0.1407 0.2000
CELL_PARAMETERS angstrom
4.1590 0.0000 0.0000
0.0000 7.7580 0.0000
0.0000 0.0000 16.1029



<two>
! PrErSe3 | the Alexandria database | PBE-GGA | optimized geometry; values from VASP
! size of the total moment	0.00	μB/f.u.
&SYSTEM
  ibrav = 0, nat = 10, ntyp = 3
/
ATOMIC_SPECIES
Er 167.26 Er.upf
Se 78.96 Se.upf
Pr 140.91 Pr.upf
ATOMIC_POSITIONS crystal
Er 0.7500 0.1473 0.6720
Er 0.2500 0.8527 0.3280
Se 0.7500 0.0972 0.3204
Se 0.2500 0.6874 0.0274
Se 0.7500 0.3126 0.9726
Se 0.2500 0.9028 0.6796
Pr 0.7500 0.6228 0.7724
Pr 0.2500 0.3772 0.2276
Se 0.7500 0.6259 0.3902
Se 0.2500 0.3741 0.6098
CELL_PARAMETERS angstrom
4.1270 0.0000 0.0000
0.0000 8.1313 0.5283
0.0000 -1.2780 8.2095



Winner for stability: <one>



<one>
! PrErSe | the Alexandria database | PBE-GGA | optimized geometry; values from VASP
! size of the total moment	0.02	μB/f.u.
&SYSTEM
  ibrav = 0, nat = 3, ntyp = 3
/
ATOMIC_SPECIES
Se 78.96 Se.upf
Er 167.26 Er.upf
Pr 140.91 Pr.upf
ATOMIC_POSITIONS crystal
Se 0.3215 0.3333 0.6667
Er 0.0622 0.0000 0.0000
Pr 0.6163 0.6667 0.3333
CELL_PARAMETERS angstrom
6.7111 0.0000 0.0000
0.0000 3.9197 0.0000
0.0000 -1.9599 3.3946



<two>
! PrErSe | the Alexandria database | PBE-GGA | optimized geometry; values from VASP
! size of the total moment	0.00	μB/f.u.
&SYSTEM
  ibrav = 0, nat = 6, ntyp = 3
/
ATOMIC_SPECIES
Pr 140.91 Pr.upf
Er 167.26 Er.upf
Se 78.96 Se.upf
ATOMIC_POSITIONS crystal
Pr 0.0000 0.5000 0.8597
Er 0.0000 0.0000 0.5000
Se 0.0000 0.5000 0.2381
Se 0.5000 0.0000 0.7619
Pr 0.5000 0.0000 0.1403
Er 0.5000 0.5000 0.5000
CELL_PARAMETERS angstrom
4.3117 0.0000 0.0000
0.0000 4.3117 0.0000
0.0000 0.0000 8.4655



Winner for stability: <one>



<one>
! PrEr2Se | the Alexandria database | PBE-GGA | optimized geometry; values from VASP
! size of the total moment	0.30	μB/f.u.
&SYSTEM
  ibrav = 0, nat = 4, ntyp = 3
/
ATOMIC_SPECIES
Pr 140.91 Pr.upf
Se 78.96 Se.upf
Er 167.26 Er.upf
ATOMIC_POSITIONS crystal
Pr 0.4997 0.4997 0.5008
Se 0.6667 0.6667 0.9998
Er 0.2694 0.2694 0.1918
Er 0.0641 0.0641 0.8076
CELL_PARAMETERS angstrom
-0.2899 -2.2128 -3.0408
2.7884 -2.3871 -0.8682
-3.3235 -8.3317 4.0404



<two>
! PrEr2Se | the Alexandria database | PBE-GGA | optimized geometry; values from VASP
! size of the total moment	0.00	μB/f.u.
&SYSTEM
  ibrav = 0, nat = 4, ntyp = 3
/
ATOMIC_SPECIES
Er 167.26 Er.upf
Se 78.96 Se.upf
Pr 140.91 Pr.upf
ATOMIC_POSITIONS crystal
Er 0.1095 0.1095 0.6715
Se 0.5000 0.5000 0.5000
Pr 0.0000 0.0000 0.0000
Er 0.8905 0.8905 0.3285
CELL_PARAMETERS angstrom
-3.0064 1.9073 0.9821
-2.4217 1.0821 -2.5700
-7.0936 -7.9560 0.6804



Winner for stability: <one>



<one>
! PrEr6Se8 | the Alexandria database | PBE-GGA | optimized geometry; values from VASP
! size of the total moment	0.00	μB/f.u.
&SYSTEM
  ibrav = 0, nat = 15, ntyp = 3
/
ATOMIC_SPECIES
Er 167.26 Er.upf
Se 78.96 Se.upf
Pr 140.91 Pr.upf
ATOMIC_POSITIONS crystal
Er 0.5426 0.2966 0.9244
Se 0.7992 0.3758 0.1022
Se 0.1022 0.7992 0.3758
Er 0.9244 0.5426 0.2966
Er 0.4574 0.7034 0.0756
Se 0.6738 0.6738 0.6738
Se 0.2008 0.6242 0.8978
Se 0.6242 0.8978 0.2008
Se 0.3262 0.3262 0.3262
Se 0.8978 0.2008 0.6242
Er 0.7034 0.0756 0.4574
Er 0.0756 0.4574 0.7034
Se 0.3758 0.1022 0.7992
Pr 0.0000 0.0000 0.0000
Er 0.2966 0.9244 0.5426
CELL_PARAMETERS angstrom
-3.6764 -4.6506 -4.8124
4.0090 -6.3815 -1.2280
-3.0708 -5.9137 3.7285



<two>
! PrEr6Se8 | the Alexandria database | PBE-GGA | optimized geometry; values from VASP
! size of the total moment	0.00	μB/f.u.
&SYSTEM
  ibrav = 0, nat = 15, ntyp = 3
/
ATOMIC_SPECIES
Er 167.26 Er.upf
Se 78.96 Se.upf
Pr 140.91 Pr.upf
ATOMIC_POSITIONS crystal
Er 0.0000 0.5000 0.5000
Se 0.2628 0.2628 0.7372
Se 0.7372 0.2628 0.2628
Er 0.0000 0.0000 0.5000
Er 0.5000 0.0000 0.0000
Pr 0.0000 0.0000 0.0000
Er 0.5000 0.5000 0.0000
Se 0.7372 0.7372 0.2628
Se 0.2628 0.7372 0.7372
Er 0.5000 0.0000 0.5000
Se 0.7500 0.7500 0.7500
Se 0.2500 0.2500 0.2500
Er 0.0000 0.5000 0.0000
Se 0.2628 0.7372 0.2628
Se 0.7372 0.2628 0.7372
CELL_PARAMETERS angstrom
6.9934 0.0000 4.0376
2.3311 6.5934 4.0376
0.0000 0.0000 8.0752



Winner for stability: <two>



<one>
! Pr2ErSi2 | the Alexandria database | PBE-GGA | optimized geometry; values from VASP
! size of the total moment	0.00	μB/f.u.
&SYSTEM
  ibrav = 0, nat = 10, ntyp = 3
/
ATOMIC_SPECIES
Si 28.09 Si.upf
Pr 140.91 Pr.upf
Er 167.26 Er.upf
ATOMIC_POSITIONS crystal
Si 0.0000 0.3857 0.8857
Si 0.0000 0.6143 0.1143
Pr 0.5000 0.6775 0.8225
Pr 0.5000 0.8225 0.3225
Pr 0.5000 0.3225 0.1775
Er 0.0000 0.5000 0.5000
Er 0.0000 0.0000 0.0000
Pr 0.5000 0.1775 0.6775
Si 0.0000 0.8857 0.6143
Si 0.0000 0.1143 0.3857
CELL_PARAMETERS angstrom
-1.6887 3.1485 2.6379
3.3395 -3.2494 6.0164
6.1954 4.2714 -1.1319



<two>
! Pr2ErSi2 | the Alexandria database | PBE-GGA | optimized geometry; values from VASP
! size of the total moment	0.00	μB/f.u.
&SYSTEM
  ibrav = 0, nat = 10, ntyp = 3
/
ATOMIC_SPECIES
Pr 140.91 Pr.upf
Er 167.26 Er.upf
Si 28.09 Si.upf
ATOMIC_POSITIONS crystal
Pr 0.5154 0.6577 0.3115
Er 0.2253 0.9177 0.6317
Er 0.7747 0.0823 0.3683
Si 0.8899 0.6664 0.5537
Pr 0.4846 0.3423 0.6885
Si 0.0081 0.8771 0.1067
Pr 0.3203 0.2674 0.0920
Si 0.1101 0.3336 0.4463
Pr 0.6797 0.7326 0.9080
Si 0.9919 0.1229 0.8933
CELL_PARAMETERS angstrom
-1.1378 2.9147 3.0636
-6.3318 1.7249 -0.8632
-4.5426 -5.6562 6.8238



Winner for stability: <one>



<one>
! Pr4SmEr7 | the Alexandria database | PBE-GGA | optimized geometry; values from VASP
! size of the total moment	0.00	μB/f.u.
&SYSTEM
  ibrav = 0, nat = 12, ntyp = 3
/
ATOMIC_SPECIES
Pr 140.91 Pr.upf
Er 167.26 Er.upf
Sm 150.36 Sm.upf
ATOMIC_POSITIONS crystal
Pr 0.6369 0.2226 0.5036
Pr 0.3631 0.7774 0.4964
Er 0.0700 0.6876 0.1724
Er 0.7890 0.9233 0.4987
Er 0.9300 0.3124 0.8276
Er 0.5000 0.0000 0.0000
Er 0.2110 0.0767 0.5013
Er 0.6325 0.5053 0.2298
Pr 0.2211 0.3351 0.2227
Sm 0.0000 0.0000 0.0000
Pr 0.7789 0.6649 0.7773
Er 0.3675 0.4947 0.7702
CELL_PARAMETERS angstrom
5.9063 0.0000 0.0000
2.9532 11.3431 -0.3134
2.9532 0.2066 6.0677



<two>
! Pr4SmEr7 | the Alexandria database | PBE-GGA | optimized geometry; values from VASP
! size of the total moment	0.00	μB/f.u.
&SYSTEM
  ibrav = 0, nat = 12, ntyp = 3
/
ATOMIC_SPECIES
Er 167.26 Er.upf
Pr 140.91 Pr.upf
Sm 150.36 Sm.upf
ATOMIC_POSITIONS crystal
Er 0.7235 0.1849 0.3814
Pr 0.5220 0.6388 0.2870
Pr 0.4780 0.3612 0.7130
Er 0.5000 0.0000 0.0000
Sm 0.0000 0.0000 0.0000
Er 0.9434 0.6796 0.3560
Er 0.7998 0.5125 0.9517
Er 0.2002 0.4875 0.0483
Er 0.2765 0.8151 0.6186
Er 0.0566 0.3204 0.6440
Pr 0.3047 0.1681 0.3079
Pr 0.6953 0.8319 0.6921
CELL_PARAMETERS angstrom
-6.0617 2.0978 -2.4508
-3.5971 -5.3116 1.5373
-9.5800 4.3225 5.6176



Winner for stability: <two>



<one>
! Pr5Sm2Er2 | the Alexandria database | PBE-GGA | optimized geometry; values from VASP
! size of the total moment	0.00	μB/f.u.
&SYSTEM
  ibrav = 0, nat = 18, ntyp = 3
/
ATOMIC_SPECIES
Pr 140.91 Pr.upf
Er 167.26 Er.upf
Sm 150.36 Sm.upf
ATOMIC_POSITIONS crystal
Pr 0.4588 0.6553 0.2875
Er 0.1870 0.6529 0.2730
Sm 0.5000 0.5848 0.0000
Pr 0.8512 0.7100 0.0964
Pr 0.2548 0.1136 0.9036
Pr 0.9247 0.1735 0.5000
Er 0.5860 0.1529 0.2730
Pr 0.5412 0.3678 0.7125
Pr 0.0753 0.6735 0.5000
Pr 0.7452 0.2100 0.0964
Pr 0.3286 0.1553 0.2875
Sm 0.8077 0.6981 0.5000
Pr 0.1488 0.6136 0.9036
Er 0.8130 0.3799 0.7270
Er 0.4140 0.8799 0.7270
Sm 0.1923 0.1981 0.5000
Pr 0.6714 0.8678 0.7125
Sm 0.0000 0.0848 0.0000
CELL_PARAMETERS angstrom
13.0455 0.0000 0.0000
0.0000 6.2722 0.0000
-6.5227 -3.1361 7.6585



<two>
! Pr5Sm2Er2 | the Alexandria database | PBE-GGA | optimized geometry; values from VASP
! size of the total moment	0.00	μB/f.u.
&SYSTEM
  ibrav = 0, nat = 9, ntyp = 3
/
ATOMIC_SPECIES
Pr 140.91 Pr.upf
Er 167.26 Er.upf
Sm 150.36 Sm.upf
ATOMIC_POSITIONS crystal
Pr 0.5543 0.3339 0.8883
Er 0.1092 0.6672 0.7766
Pr 0.4457 0.6661 0.1117
Pr 0.7780 0.6670 0.4451
Pr 0.0000 0.0000 0.0000
Sm 0.6684 0.9991 0.6680
Pr 0.2220 0.3330 0.5549
Er 0.8908 0.3328 0.2234
Sm 0.3316 0.0009 0.3320
CELL_PARAMETERS angstrom
5.6898 -0.7821 -2.6681
-3.2540 5.2003 1.5747
-3.9740 2.4800 13.3344



Winner for stability: <two>